The following is a DFT calculation (PBE) of a geometry-optimized CrTeRu structure.

Computed properties:
The calculation puts the formation energy from raw total energies at 432 meV per atom. The total energy is -6.9149 eV/atom. The value obtained for the offset from the most stable computed form is 320 meV/atom.

a b c (Å): 5.6956 5.6957 3.0239
angles (deg): 74.61 74.61 30.79
Atoms (fractional coordinates):
Cr1 0.0116 0.0117 0.9884
Ru1 0.6481 0.6481 0.3519
Te1 0.3403 0.3403 0.6597